(i)
# Ru2Rh

A PBEsol-optimized structure of Ru2Rh (SCAN, Alexandria via LeMat-Bulk).

For the magnetic moment, the calculation gives 0.0 Bohr magnetons per cell.

Cell: 2.660 3.764 8.003 Å, 90.00 90.00 90.00°
Space group Immm (No. 71)
Unique sites:
Ru (0.000, 0.000, 0.170) x4
Rh (0.000, 0.000, 0.500) x2

(ii)
# Ru2Rh

A PBEsol-optimized structure of Ru2Rh (SCAN, Alexandria via LeMat-Bulk).

For the magnetic moment, the calculation gives 0.0 Bohr magnetons per cell.

Cell: 9.720 2.684 6.313 Å, 90.00 103.78 90.00°
Space group C2/m (No. 12)
Unique sites:
Ru (0.142, 0.000, 0.029) x4
Ru (0.197, 0.000, 0.641) x4
Rh (0.027, 0.500, 0.304) x4

Which structure wins on stability? (ii) wins.